(1)
Material: LaHf2Ta
Method: DFT, GGA-PBE
State: optimized geometry

- calculated density (g cm⁻³) = 11.57
- formation energy (meV/atom) = 195
- offset from the most stable computed form (meV per atom) = 0
- magnetization (μB/cell) = 0.00
- D(E_F) (states/eV/f.u.) = 6.29

a = 3.510 Å, b = 3.510 Å, c = 7.883 Å
α = 90.00°, β = 90.00°, γ = 90.00°
Fractional coordinates of all 4 atoms:
Ta: 0.500 0.500 0.000
Hf: 0.000 0.000 0.802
Hf: 0.000 0.000 0.198
La: 0.500 0.500 0.500

---

(2)
Material: CoSe5
Method: DFT, GGA-PBE
State: optimized geometry

- formation energy (no corrections) (kJ per mole of atoms) = 40.8
- calculated density (g cm⁻³) = 6.34
- magnetization (μB/cell) = 0.76
- D(E_F) (states/eV/f.u.) = 3.40

a = 3.137 Å, b = 3.137 Å, c = 12.068 Å
α = 90.00°, β = 90.00°, γ = 90.00°
Fractional coordinates of all 6 atoms:
Se: 0.000 0.000 0.891
Se: 0.500 0.500 0.654
Se: 0.000 0.000 0.500
Se: 0.500 0.500 0.346
Se: 0.000 0.000 0.109
Co: 0.500 0.500 0.000

---

(3)
Material: LiPd3Pb6
Method: DFT, GGA-PBE
State: optimized geometry

- calculated density (g cm⁻³) = 10.51
- formation energy (meV/atom) = -166
- magnetization (μB/cell) = 0.00
- D(E_F) (states/eV/f.u.) = 3.49

a = 6.541 Å, b = 8.984 Å, c = 8.984 Å
α = 110.09°, β = 90.00°, γ = 90.00°
Fractional coordinates of all 20 atoms:
Pb: 0.694 0.889 0.466
Pb: 0.767 0.035 0.965
Pb: 0.654 0.663 0.716
Pb: 0.694 0.534 0.111
Pb: 0.654 0.284 0.337
Pb: 0.182 0.738 0.262
Pb: 0.154 0.337 0.284
Pb: 0.194 0.111 0.534
Pb: 0.154 0.716 0.663
Pb: 0.267 0.965 0.035
Pb: 0.194 0.466 0.889
Pb: 0.682 0.262 0.738
Li: 0.601 0.851 0.149
Li: 0.101 0.149 0.851
Pd: 0.432 0.268 0.022
Pd: 0.932 0.022 0.268
Pd: 0.432 0.978 0.732
Pd: 0.932 0.732 0.978
Pd: 0.875 0.587 0.413
Pd: 0.375 0.413 0.587

---

(4)
Material: PmMgCu
Method: DFT, GGA-PBE
State: optimized geometry

- calculated density (g cm⁻³) = 5.73
- formation energy (meV/atom) = -70
- offset from the most stable computed form (meV per atom) = 115
- magnetization (μB/cell) = 0.00
- D(E_F) (states/eV/f.u.) = 3.10

a = 3.380 Å, b = 3.380 Å, c = 6.368 Å
α = 105.39°, β = 105.39°, γ = 90.00°
Fractional coordinates of all 3 atoms:
Cu: 0.654 0.654 0.307
Pm: 0.314 0.314 0.628
Mg: 0.032 0.032 0.065